{
  "formula": "PtRhAu2",
  "functional": "GGA-PBE",
  "state": "optimized geometry",
  "spacegroup": "I-4m2 (119)",
  "formation_energy_ev_per_atom": 0.14,
  "e_tot_ev_per_atom": -4.85,
  "lattice_angstrom": [[3.7567, 1.2815, 2.9170], [-1.6923, 2.9646, 3.5512], [-1.5438, -4.4054, -1.5726]],
  "species": ["Pt", "Au", "Au", "Rh"],
  "fractional_positions": [[0.5000, 0.5000, 0.0000], [0.2500, 0.7500, 0.5000], [0.0000, 0.0000, 0.0000], [0.7500, 0.2500, 0.5000]]
}



{
  "formula": "Rh2AuCl",
  "functional": "GGA-PBE",
  "state": "optimized geometry",
  "spacegroup": "Pm (6)",
  "e_form_raw_mev_per_atom": 195,
  "e_tot_ev_per_atom": -4.76,
  "lattice_angstrom": [[-2.6342, -0.7727, -1.3352], [1.4559, -1.3557, -2.0877], [-0.1587, -6.7334, 4.2099]],
  "species": ["Rh", "Cl", "Rh", "Au"],
  "fractional_positions": [[0.0000, 0.7514, 0.0232], [0.5000, 0.7550, 0.7902], [0.5000, 0.2484, 0.2239], [0.0000, 0.7452, 0.4628]]
}



{
  "formula": "MgTaCuRu",
  "functional": "GGA-PBE",
  "state": "optimized geometry",
  "spacegroup": "F-43m (216)",
  "formation_energy_ev_per_atom": -0.08,
  "e_tot_ev_per_atom": -6.79,
  "lattice_angstrom": [[4.4277, 0.0000, 0.0000], [2.2139, 3.8345, 0.0000], [2.2139, 1.2782, 3.6152]],
  "species": ["Mg", "Ta", "Cu", "Ru"],
  "fractional_positions": [[0.0000, 0.0000, 0.0000], [0.5000, 0.5000, 0.5000], [0.2500, 0.2500, 0.2500], [0.7500, 0.7500, 0.7500]]
}